Below is Cs4Ce3NiS8 after structural relaxation, with properties calculated at the PBE level.

Summary:
Formation energy (no corrections)   -1.371 eV per atom
Crystal system   monoclinic
SG   No. 12

Lattice parameters (Å, degrees): 8.358 8.157 8.178 91.24 120.73 90.00
Fractional positions:
1 Ce 0.500 0.500 0.000
2 Ce 0.500 0.500 0.500
3 Ce 0.000 0.500 0.500
4 Cs 0.500 0.000 0.500
5 Cs 0.500 0.000 0.000
6 Cs 0.000 0.000 0.000
7 Cs 0.000 0.000 0.500
8 S 0.329 0.313 0.659
9 S 0.151 0.661 0.303
10 S 0.173 0.683 0.838
11 S 0.665 0.683 0.838
12 S 0.671 0.687 0.341
13 S 0.335 0.317 0.162
14 S 0.827 0.317 0.162
15 S 0.849 0.339 0.697
16 Ni 0.000 0.500 0.000

***

Below is RbTl2PO4 after structural relaxation, with properties calculated at the PBE level.

Summary:
Formation energy (no corrections)   -1.154 eV per atom
Crystal system   orthorhombic
SG   No. 74

Lattice parameters (Å, degrees): 7.337 7.337 8.791 126.81 126.81 73.23
Fractional positions:
1 P 0.500 0.500 0.500
2 P 0.000 0.000 0.000
3 O 0.000 0.000 0.186
4 O 0.500 0.500 0.314
5 O 0.684 0.310 0.497
6 O 0.316 0.690 0.503
7 O 0.500 0.500 0.686
8 O 0.810 0.184 0.997
9 O 0.000 0.000 0.814
10 O 0.190 0.816 0.003
11 Rb 0.000 0.500 0.500
12 Rb 0.000 0.500 0.000
13 Tl 0.500 0.500 0.000
14 Tl 0.000 0.000 0.500
15 Tl 0.500 0.000 0.500
16 Tl 0.500 0.000 0.000